## Zr2CdRh (PBE)

Data for a relaxed Zr2CdRh crystal.

Lattice parameters (Å, degrees): 9.483 9.483 9.483 19.47 19.47 19.47
Sites, in units of the cell vectors:
1 Cd 0.492 0.492 0.492
2 Rh 0.746 0.746 0.746
3 Zr 0.010 0.010 0.010
4 Zr 0.252 0.252 0.252

Properties
Energy relative to the elements ... -176 meV per atom
Crystal system ... trigonal
M_tot ... 0.00 μB/cell
Theoretical density ... 8.0 g cm⁻³
Space group ... No. 160
V ... 82.9 Å³/cell

---

## NaZnAg4 (PBE)

Data for a relaxed NaZnAg4 crystal.

Lattice parameters (Å, degrees): 3.988 7.255 8.124 90.00 90.00 90.00
Sites, in units of the cell vectors:
1 Na 0.000 0.625 0.750
2 Na 0.000 0.375 0.250
3 Zn 0.000 0.229 0.750
4 Zn 0.000 0.771 0.250
5 Ag 0.000 0.000 0.500
6 Ag 0.000 0.000 0.000
7 Ag 0.500 0.949 0.750
8 Ag 0.500 0.051 0.250
9 Ag 0.500 0.693 0.042
10 Ag 0.500 0.307 0.958
11 Ag 0.500 0.693 0.458
12 Ag 0.500 0.307 0.542

Properties
Energy relative to the elements ... 30 meV per atom
Crystal system ... orthorhombic
M_tot ... 0.00 μB/cell
Theoretical density ... 7.3 g cm⁻³
Space group ... No. 51
V ... 235.1 Å³/cell

---

## BiIrRhO6 (PBE)

Data for a relaxed BiIrRhO6 crystal.

Lattice parameters (Å, degrees): 4.783 4.783 9.840 90.00 90.00 90.00
Last column: magnetic moment on the atom in μB.
Sites, in units of the cell vectors:
1 Bi 0.500 0.500 0.500  0.00
2 Bi 0.000 0.000 0.000  0.00
3 Ir 0.500 0.500 0.832  0.35
4 Ir 0.000 0.000 0.332  0.35
5 Rh 0.500 0.500 0.168  0.04
6 Rh 0.000 0.000 0.668  0.04
7 O 0.173 0.827 0.499  0.02
8 O 0.827 0.173 0.499  0.02
9 O 0.327 0.327 0.999  0.02
10 O 0.673 0.673 0.999  0.02
11 O 0.199 0.801 0.179  0.02
12 O 0.801 0.199 0.179  0.02
13 O 0.301 0.301 0.679  0.02
14 O 0.699 0.699 0.679  0.02
15 O 0.791 0.209 0.822  0.08
16 O 0.209 0.791 0.822  0.08
17 O 0.709 0.709 0.322  0.08
18 O 0.291 0.291 0.322  0.08

Properties
Formation energy (no corrections) ... -801.1 meV/atom
Crystal system ... tetragonal
M_tot ... 1.38 μB/cell
Theoretical density ... 8.9 g cm⁻³
Space group ... No. 102
V ... 225.1 Å³/cell